No. 1
## CoIr2Se (GGA-PBE)

Data for crystalline CoIr2Se at its relaxed geometry.

Summary:
- formation energy without anion corrections (eV/atom) = 0.52
- calculated total energy (eV/atom) = -6.56

Cell lengths 2.758, 4.780, 9.107 Å; angles 90.00, 90.00, 90.00 degrees
Fractional positions:
Co: 0.000 0.000 0.000
Co: 0.500 0.500 0.000
Ir: 0.000 0.500 0.231
Ir: 0.000 0.500 0.769
Ir: 0.500 0.000 0.231
Ir: 0.500 0.000 0.769
Se: 0.000 0.000 0.500
Se: 0.500 0.500 0.500

No. 2
## Ce5GeSe4 (GGA-PBE)

Data for crystalline Ce5GeSe4 at its relaxed geometry.

Summary:
- formation energy without anion corrections (eV/atom) = -1.63
- calculated total energy (eV/atom) = -6.45
- offset from the most stable computed form (kcal/mol of atoms) = 0.000

Cell lengths 7.302, 7.302, 7.302 Å; angles 99.57, 99.57, 131.88 degrees
Fractional positions:
Ce: 0.000 0.000 0.000
Ce: 0.201 0.600 0.801
Ce: 0.400 0.201 0.602
Ce: 0.600 0.799 0.398
Ce: 0.799 0.400 0.199
Ge: 0.500 0.500 0.000
Se: 0.100 0.300 0.400
Se: 0.300 0.900 0.200
Se: 0.700 0.100 0.800
Se: 0.900 0.700 0.600

No. 3
## ZrC4 (GGA-PBE)

Data for crystalline ZrC4 at its relaxed geometry.

Summary:
- calculated total energy (eV/atom) = -7.54
- formation energy from the elements (eV per atom) = 1.55
- offset from the most stable computed form (kcal/mol of atoms) = 13.660

Cell lengths 3.361, 3.361, 7.700 Å; angles 90.00, 90.00, 90.00 degrees
Fractional positions:
Zr: 0.000 0.000 0.000
Zr: 0.500 0.500 0.500
C: 0.000 0.000 0.295
C: 0.000 0.000 0.705
C: 0.000 0.500 0.250
C: 0.000 0.500 0.750
C: 0.500 0.000 0.250
C: 0.500 0.000 0.750
C: 0.500 0.500 0.205
C: 0.500 0.500 0.795

No. 4
## PrNdEr14 (GGA-PBE)

Data for crystalline PrNdEr14 at its relaxed geometry.

Summary:
- calculated total energy (eV/atom) = -4.58
- formation energy from the elements (eV per atom) = 0.01

Cell lengths 11.412, 7.087, 7.087 Å; angles 60.16, 90.00, 90.00 degrees
Fractional positions:
Pr: 0.000 0.000 0.000
Nd: 0.000 0.500 0.500
Er: 0.000 0.000 0.500
Er: 0.000 0.500 0.000
Er: 0.252 0.667 0.667
Er: 0.253 0.167 0.167
Er: 0.255 0.167 0.667
Er: 0.255 0.667 0.167
Er: 0.500 0.333 0.333
Er: 0.500 0.334 0.834
Er: 0.500 0.833 0.833
Er: 0.500 0.834 0.334
Er: 0.745 0.167 0.667
Er: 0.745 0.667 0.167
Er: 0.747 0.167 0.167
Er: 0.748 0.667 0.667

No. 5
## Mo (GGA-PBE)

Data for crystalline Mo at its relaxed geometry.

Summary:
- calculated total energy (eV/atom) = -10.00
- formation energy from the elements (eV per atom) = 0.83
- offset from the most stable computed form (kcal/mol of atoms) = 19.139

Cell lengths 2.772, 2.772, 2.536 Å; angles 90.00, 90.00, 120.00 degrees
Fractional positions:
Mo: 0.000 0.000 0.000

No. 6
## Sr2TlB (GGA-PBE)

Data for crystalline Sr2TlB at its relaxed geometry.

Summary:
- calculated total energy (eV/atom) = -2.70
- formation energy from the elements (eV per atom) = 0.41
- offset from the most stable computed form (kcal/mol of atoms) = 0.000

Cell lengths 7.693, 7.693, 7.693 Å; angles 90.00, 90.00, 90.00 degrees
Fractional positions:
Sr: 0.250 0.250 0.250
Sr: 0.250 0.250 0.750
Sr: 0.250 0.750 0.250
Sr: 0.250 0.750 0.750
Sr: 0.750 0.250 0.250
Sr: 0.750 0.250 0.750
Sr: 0.750 0.750 0.250
Sr: 0.750 0.750 0.750
Tl: 0.000 0.000 0.000
Tl: 0.000 0.500 0.500
Tl: 0.500 0.000 0.500
Tl: 0.500 0.500 0.000
B: 0.000 0.000 0.500
B: 0.000 0.500 0.000
B: 0.500 0.000 0.000
B: 0.500 0.500 0.500

No. 7
## V3SnPt (GGA-PBE)

Data for crystalline V3SnPt at its relaxed geometry.

Summary:
- calculated total energy (eV/atom) = -6.69
- formation energy from the elements (eV per atom) = 0.79
- offset from the most stable computed form (kcal/mol of atoms) = 0.000

Cell lengths 4.708, 4.708, 4.708 Å; angles 90.00, 90.00, 90.00 degrees
Fractional positions:
V: 0.000 0.000 0.500
V: 0.000 0.500 0.000
V: 0.500 0.000 0.000
Sn: 0.500 0.500 0.500
Pt: 0.000 0.000 0.000

No. 8
## HfCoBi2 (GGA-PBE)

Data for crystalline HfCoBi2 at its relaxed geometry.

Summary:
- calculated total energy (eV/atom) = -5.81
- formation energy from the elements (eV per atom) = 0.39
- offset from the most stable computed form (kcal/mol of atoms) = 0.000

Cell lengths 7.787, 7.787, 6.069 Å; angles 90.00, 90.00, 90.00 degrees
Fractional positions:
Hf: 0.000 0.000 0.000
Hf: 0.000 0.500 0.250
Hf: 0.500 0.000 0.750
Hf: 0.500 0.500 0.500
Co: 0.000 0.000 0.500
Co: 0.000 0.500 0.750
Co: 0.500 0.000 0.250
Co: 0.500 0.500 0.000
Bi: 0.194 0.250 0.625
Bi: 0.250 0.694 0.875
Bi: 0.250 0.806 0.375
Bi: 0.306 0.250 0.125
Bi: 0.694 0.750 0.125
Bi: 0.750 0.194 0.375
Bi: 0.750 0.306 0.875
Bi: 0.806 0.750 0.625

No. 9
## TaTc2Pt (GGA-PBE)

Data for crystalline TaTc2Pt at its relaxed geometry.

Summary:
- calculated total energy (eV/atom) = -9.80
- formation energy from the elements (eV per atom) = -0.14
- offset from the most stable computed form (kcal/mol of atoms) = 4.957

Cell lengths 5.610, 7.916, 2.810 Å; angles 90.00, 90.00, 90.00 degrees
Fractional positions:
Ta: 0.000 0.000 0.000
Ta: 0.500 0.500 0.000
Tc: 0.250 0.250 0.500
Tc: 0.250 0.750 0.500
Tc: 0.750 0.250 0.500
Tc: 0.750 0.750 0.500
Pt: 0.000 0.500 0.000
Pt: 0.500 0.000 0.000

No. 10
## ScOsC2 (GGA-PBE)

Data for crystalline ScOsC2 at its relaxed geometry.

Summary:
- calculated total energy (eV/atom) = -8.76
- formation energy from the elements (eV per atom) = 0.24
- offset from the most stable computed form (kcal/mol of atoms) = 0.000

Cell lengths 4.790, 4.790, 9.810 Å; angles 90.00, 90.00, 90.00 degrees
Fractional positions:
Sc: 0.000 0.000 0.000
Sc: 0.000 0.500 0.250
Sc: 0.500 0.000 0.750
Sc: 0.500 0.500 0.500
Os: 0.000 0.000 0.500
Os: 0.000 0.500 0.750
Os: 0.500 0.000 0.250
Os: 0.500 0.500 0.000
C: 0.194 0.250 0.625
C: 0.250 0.694 0.875
C: 0.250 0.806 0.375
C: 0.306 0.250 0.125
C: 0.694 0.750 0.125
C: 0.750 0.194 0.375
C: 0.750 0.306 0.875
C: 0.806 0.750 0.625

No. 11
## Dy4ScAu2 (GGA-PBE)

Data for crystalline Dy4ScAu2 at its relaxed geometry.

Summary:
- calculated total energy (eV/atom) = -4.74
- formation energy from the elements (eV per atom) = -0.27

Cell lengths 9.096, 9.096, 9.096 Å; angles 33.07, 33.07, 33.07 degrees
Fractional positions:
Dy: 0.123 0.123 0.123
Dy: 0.286 0.286 0.286
Dy: 0.714 0.714 0.714
Dy: 0.877 0.877 0.877
Sc: 0.500 0.500 0.500
Au: 0.397 0.397 0.397
Au: 0.603 0.603 0.603

No. 12
## CoMo5 (GGA-PBE)

Data for crystalline CoMo5 at its relaxed geometry.

Summary:
- calculated total energy (eV/atom) = -9.43
- formation energy from the elements (eV per atom) = 0.78
- offset from the most stable computed form (kcal/mol of atoms) = 15.554

Cell lengths 5.164, 5.164, 4.495 Å; angles 90.00, 90.00, 120.00 degrees
Fractional positions:
Co: 0.000 0.000 0.000
Mo: 0.000 0.500 0.500
Mo: 0.333 0.667 0.000
Mo: 0.500 0.000 0.500
Mo: 0.500 0.500 0.500
Mo: 0.667 0.333 0.000

No. 13
## Bi2BTeS (GGA-PBE)

Data for crystalline Bi2BTeS at its relaxed geometry.

Summary:
- formation energy without anion corrections (eV/atom) = 0.47
- calculated total energy (eV/atom) = -3.87

Cell lengths 5.388, 5.388, 4.009 Å; angles 90.00, 90.00, 90.00 degrees
Fractional positions:
Bi: 0.000 0.500 0.000
Bi: 0.500 0.000 0.000
B: 0.000 0.000 0.000
Te: 0.500 0.500 0.500
S: 0.000 0.000 0.500

Quick rundown of mass density, same order as above: 14.4 6.8 5.3 8.8 9.4 5.7 7.4 11.8 15.2 7.6 9.1 8.6 8.4 g cm⁻³
Quick rundown of N(E_F), same order as above: 5.546 29.936 1.762 20.898 0.681 0.741 8.870 4.974 3.734 2.350 9.463 6.107 3.163 states/eV/f.u.